# 1
DFT (PBE) results for an optimized crystal structure of ZnAg2P.

Calculated values
**DOS at the Fermi energy**: 0.18 states/eV/atom
**Space group**: No. 35
**Total magnetization**: 0.00 μB per cell
**E_form**: 0.199 eV/atom

abc: 2.863 2.863 8.514
angles: 90.00 90.00 106.37
Sites, in units of the cell vectors:
Zn (0.000, 0.000, 0.000)
Ag (0.000, 0.000, 0.518)
Ag (0.500, 0.500, 0.246)
P (0.500, 0.500, 0.780)

---

# 2
DFT (PBE) results for an optimized crystal structure of Gd2MnAl.

Calculated values
**DOS at the Fermi energy**: 1.07 states/eV/atom
**Space group**: No. 123
**Total magnetization**: 11.16 μB per cell
**E_form**: -0.098 eV/atom

abc: 4.742 4.742 4.118
angles: 90.00 90.00 90.00
Sites, in units of the cell vectors:
Gd (0.000, 0.500, 0.000)
Gd (0.500, 0.000, 0.000)
Mn (0.000, 0.000, 0.500)
Al (0.500, 0.500, 0.500)

---

# 3
DFT (PBE) results for an optimized crystal structure of LaMgCl2.

Calculated values
**Formation energy (no corrections)**: -1.320 eV/atom
**DOS at the Fermi energy**: 0.46 states/eV/atom
**Space group**: No. 25
**Total magnetization**: 0.21 μB per cell

abc: 3.857 3.872 6.521
angles: 90.00 90.00 90.00
Sites, in units of the cell vectors:
La (0.000, 0.000, 0.000)
Mg (0.500, 0.500, 0.648)
Cl (0.000, 0.000, 0.546)
Cl (0.500, 0.500, 0.235)

---

# 4
DFT (PBE) results for an optimized crystal structure of Al5CuSi2.

Calculated values
**Formation energy (no corrections)**: 0.076 eV/atom
**DOS at the Fermi energy**: 0.20 states/eV/atom
**Space group**: No. 55
**Total magnetization**: 0.00 μB per cell

abc: 5.929 11.258 3.887
angles: 90.00 90.00 90.00
Sites, in units of the cell vectors:
Al (0.000, 0.000, 0.000)
Al (0.138, 0.287, 0.000)
Al (0.152, 0.609, 0.500)
Al (0.348, 0.109, 0.500)
Al (0.362, 0.787, 0.000)
Al (0.500, 0.500, 0.000)
Al (0.638, 0.213, 0.000)
Al (0.652, 0.891, 0.500)
Al (0.848, 0.391, 0.500)
Al (0.862, 0.713, 0.000)
Cu (0.000, 0.500, 0.000)
Cu (0.500, 0.000, 0.000)
Si (0.068, 0.838, 0.500)
Si (0.432, 0.338, 0.500)
Si (0.568, 0.662, 0.500)
Si (0.932, 0.162, 0.500)

---

# 5
DFT (PBE) results for an optimized crystal structure of Sm4Ho6Zr.

Calculated values
**DOS at the Fermi energy**: 1.53 states/eV/atom
**Space group**: No. 128
**Total magnetization**: 2.83 μB per cell
**E_form**: 0.142 eV/atom

abc: 8.675 8.675 9.100
angles: 90.00 90.00 90.00
Sites, in units of the cell vectors:
Sm (0.145, 0.355, 0.250)
Sm (0.145, 0.355, 0.750)
Sm (0.355, 0.855, 0.250)
Sm (0.355, 0.855, 0.750)
Sm (0.645, 0.145, 0.250)
Sm (0.645, 0.145, 0.750)
Sm (0.855, 0.645, 0.250)
Sm (0.855, 0.645, 0.750)
Ho (0.000, 0.000, 0.175)
Ho (0.000, 0.000, 0.825)
Ho (0.153, 0.657, 0.500)
Ho (0.157, 0.653, 0.000)
Ho (0.343, 0.153, 0.500)
Ho (0.347, 0.157, 0.000)
Ho (0.500, 0.500, 0.325)
Ho (0.500, 0.500, 0.675)
Ho (0.653, 0.843, 0.000)
Ho (0.657, 0.847, 0.500)
Ho (0.843, 0.347, 0.000)
Ho (0.847, 0.343, 0.500)
Zr (0.000, 0.000, 0.500)
Zr (0.500, 0.500, 0.000)

---

# 6
DFT (PBE) results for an optimized crystal structure of FeNi2Ir.

Calculated values
**DOS at the Fermi energy**: 1.42 states/eV/atom
**Space group**: No. 119
**Total magnetization**: 2.79 μB per cell
**E_form**: -0.038 eV/atom

abc: 4.425 4.425 4.425
angles: 131.07 131.07 71.70
Sites, in units of the cell vectors:
Fe (0.000, 0.000, 0.000)
Ni (0.500, 0.500, 0.000)
Ni (0.750, 0.250, 0.500)
Ir (0.250, 0.750, 0.500)

---

Number 1: ρ 7.7 g/cm³. Number 2: ρ 7.1 g/cm³. Number 3: ρ 4.0 g/cm³. Number 4: ρ 3.3 g/cm³. Number 5: ρ 8.2 g/cm³. Number 6: ρ 12.6 g/cm³.